(1)
TlBPt4 GGA-PBE optimized geometry; final energy = -5.657 eV/atom; DFT formation energy = -0.123 eV/atom; total magnetic moment = 0.00 μB per cell; space-group type = P-1; calculated volume = 191.5 Å³/cell
1.0
-1.311 -4.532 -0.427
3.970 -0.637 -4.636
4.284 0.681 5.734
Tl B Pt
2 2 8
Direct
0.896 0.751 0.011
0.104 0.249 0.989
0.500 0.000 0.500
0.000 0.500 0.500
0.511 0.048 0.806
0.703 0.426 0.189
0.489 0.952 0.194
0.297 0.574 0.811
0.912 0.845 0.588
0.318 0.647 0.398
0.088 0.155 0.412
0.682 0.353 0.602

***

(2)
MnHS2Cl GGA-PBE optimized geometry; final energy = -4.004 eV/atom; total magnetic moment = 1.11 μB per cell; space-group type = P4/mmm; calculated volume = 92.6 Å³/cell
1.0
4.292 0.000 0.000
0.000 4.292 0.000
0.000 0.000 5.026
H S Mn Cl
1 2 1 1
Direct
0.500 0.500 0.500
0.000 0.500 0.000
0.500 0.000 0.000
0.000 0.000 0.000
0.000 0.000 0.500

***

(3)
InSn2Sb3 GGA-PBE optimized geometry; final energy = -3.844 eV/atom; total magnetic moment = 0.00 μB per cell; space-group type = I4/mmm; calculated volume = 176.2 Å³/cell; uncorrected formation energy = 0.008 eV per atom
1.0
4.226 0.000 -0.987
-0.231 4.219 -0.987
0.072 0.076 9.845
In Sn Sb
1 2 3
Direct
0.000 0.000 0.000
0.334 0.334 0.667
0.666 0.666 0.333
0.834 0.834 0.667
0.166 0.166 0.333
0.500 0.500 0.000

***

(4)
Pr6SmAl2 GGA-PBE optimized geometry; final energy = -4.673 eV/atom; DFT formation energy = -0.131 eV/atom; total magnetic moment = 0.00 μB per cell; space-group type = C2/m; calculated volume = 287.7 Å³/cell
1.0
3.791 0.000 0.602
1.669 6.376 1.730
0.055 -0.089 11.892
Pr Sm Al
6 1 2
Direct
0.686 0.505 0.124
0.314 0.495 0.876
0.311 0.787 0.591
0.974 0.727 0.325
0.026 0.273 0.675
0.689 0.213 0.409
0.000 0.000 0.000
0.351 0.101 0.198
0.649 0.899 0.802

***

(5)
Pm12Si3O5 GGA-PBE optimized geometry; final energy = -6.483 eV/atom; total magnetic moment = 3.30 μB per cell; space-group type = Ia-3d; calculated volume = 1916.6 Å³/cell; uncorrected formation energy = -1.580 eV per atom
1.0
-7.288 -10.580 -4.317
8.997 3.476 -9.522
6.542 -3.364 11.383
Si O Pm
12 20 48
Direct
0.750 0.375 0.125
0.875 0.750 0.125
0.375 0.750 0.625
0.250 0.125 0.375
0.875 0.125 0.250
0.375 0.625 0.250
0.625 0.375 0.750
0.125 0.875 0.750
0.750 0.875 0.625
0.625 0.250 0.375
0.125 0.250 0.875
0.250 0.625 0.875
0.125 0.375 0.250
0.000 0.500 0.000
0.000 0.000 0.000
0.375 0.250 0.125
0.500 0.000 0.500
0.500 0.500 0.000
0.125 0.750 0.375
0.750 0.125 0.875
0.750 0.625 0.375
0.375 0.125 0.750
0.625 0.875 0.250
0.500 0.500 0.500
0.500 0.000 0.000
0.000 0.000 0.500
0.250 0.375 0.625
0.250 0.875 0.125
0.000 0.500 0.500
0.875 0.250 0.625
0.625 0.750 0.875
0.875 0.625 0.750
0.704 0.115 0.019
0.315 0.519 0.404
0.981 0.385 0.296
0.519 0.204 0.115
0.589 0.704 0.685
0.981 0.596 0.185
0.315 0.796 0.411
0.096 0.911 0.115
0.596 0.981 0.685
0.704 0.589 0.185
0.796 0.481 0.385
0.815 0.904 0.019
0.115 0.704 0.519
0.385 0.404 0.089
0.089 0.904 0.385
0.411 0.115 0.596
0.089 0.185 0.204
0.481 0.685 0.096
0.815 0.911 0.296
0.115 0.411 0.096
0.385 0.981 0.796
0.596 0.615 0.411
0.904 0.815 0.519
0.796 0.315 0.911
0.404 0.385 0.589
0.096 0.185 0.481
0.204 0.685 0.089
0.185 0.089 0.704
0.615 0.019 0.204
0.885 0.589 0.904
0.519 0.315 0.904
0.589 0.885 0.404
0.911 0.815 0.796
0.911 0.096 0.615
0.885 0.296 0.481
0.185 0.096 0.981
0.615 0.596 0.911
0.404 0.019 0.315
0.296 0.411 0.815
0.204 0.519 0.615
0.904 0.089 0.885
0.685 0.204 0.589
0.481 0.796 0.885
0.019 0.404 0.815
0.411 0.296 0.315
0.019 0.615 0.704
0.685 0.481 0.596
0.296 0.885 0.981

***

(6)
Tb2AlIr GGA-PBE optimized geometry; final energy = -5.258 eV/atom; DFT formation energy = 0.208 eV/atom; total magnetic moment = 0.00 μB per cell; space-group type = R-3m; calculated volume = 91.3 Å³/cell
1.0
-1.899 2.596 -0.226
-1.057 0.978 -2.885
-9.173 -4.711 -0.038
Ir Tb Al
1 2 1
Direct
0.000 0.000 0.000
0.086 0.086 0.742
0.914 0.914 0.258
0.500 0.500 0.500

***

(7)
Ce2ThO6 GGA-PBE optimized geometry; final energy = -9.051 eV/atom; total magnetic moment = 0.00 μB per cell; space-group type = Immm; calculated volume = 126.0 Å³/cell; uncorrected formation energy = -3.602 eV per atom
1.0
4.901 0.213 4.643
2.602 5.941 1.887
-5.562 -3.800 -0.504
Ce Th O
2 1 6
Direct
0.332 0.332 0.000
0.668 0.668 0.000
0.000 0.000 0.000
0.746 0.500 0.246
0.083 0.831 0.252
0.421 0.169 0.252
0.254 0.500 0.754
0.579 0.831 0.748
0.917 0.169 0.748

***

(8)
Zn2Fe2Hg GGA-PBE optimized geometry; final energy = -3.654 eV/atom; DFT formation energy = 0.301 eV/atom; total magnetic moment = 10.41 μB per cell; space-group type = P4/mbm; calculated volume = 149.2 Å³/cell
1.0
7.156 0.000 0.000
0.000 7.156 0.000
0.000 0.000 2.915
Zn Hg Fe
4 2 4
Direct
0.375 0.875 0.000
0.875 0.625 0.000
0.625 0.125 0.000
0.125 0.375 0.000
0.000 0.000 0.000
0.500 0.500 0.000
0.170 0.670 0.500
0.670 0.830 0.500
0.830 0.330 0.500
0.330 0.170 0.500